A plane-wave DFT calculation with PBEsol was carried out for an optimized crystal structure of Cs2LiScCl6.

Summary:
Its space group is R-3m, No. 166. The energy relative to the elements, uncorrected comes out at -2.0851 eV/atom. As for the uncorrected energy: -4.34 eV per atom.

Cell lengths 12.575, 12.575, 12.575 Å; angles 33.37, 33.37, 33.37 degrees
Fractional coordinates of all 20 atoms:
Cs: 0.126 0.126 0.126
Cs: 0.289 0.289 0.289
Cs: 0.711 0.711 0.711
Cs: 0.874 0.874 0.874
Li: 0.411 0.411 0.411
Li: 0.589 0.589 0.589
Sc: 0.000 0.000 0.000
Sc: 0.500 0.500 0.500
Cl: 0.142 0.616 0.616
Cl: 0.202 0.202 0.716
Cl: 0.202 0.716 0.202
Cl: 0.284 0.798 0.798
Cl: 0.384 0.384 0.858
Cl: 0.384 0.858 0.384
Cl: 0.616 0.142 0.616
Cl: 0.616 0.616 0.142
Cl: 0.716 0.202 0.202
Cl: 0.798 0.284 0.798
Cl: 0.798 0.798 0.284
Cl: 0.858 0.384 0.384